# 1
This record from Alexandria via LeMat-Bulk describes a crystal of CoCu2AgSn relaxed with PBEsol. The functional is SCAN.

Lattice parameters (Å, degrees): 4.6058 4.6058 4.9273 90.00 90.00 90.00
Each line ends with the local moment (μB).
Atoms (fractional coordinates):
Cu 0.0000 0.5000 0.0000  0.01
Cu 0.5000 0.0000 0.0000  0.01
Co 0.5000 0.5000 0.5000  2.33
Ag 0.0000 0.0000 0.0000  0.01
Sn 0.0000 0.0000 0.5000  -0.01

Output
ΔH_f (0 K): 1.256 eV/atom
calculated volume: 20.9 Å³/atom
DOS at the Fermi energy: 0.519 states/eV per atom
electronic total energy: -21.74 eV per atom

***

# 2
This record from Alexandria via LeMat-Bulk describes a crystal of HfI4 relaxed with PBEsol. The functional is SCAN.

Lattice parameters (Å, degrees): 7.0058 7.9657 7.9657 116.94 90.70 89.30
Atoms (fractional coordinates):
I 0.0790 0.7299 0.4954
I 0.4021 0.0064 0.2618
I 0.5790 0.5046 0.2701
I 0.5979 0.9936 0.7382
I 0.9210 0.2701 0.5046
I 0.0979 0.2618 0.0064
I 0.4210 0.4954 0.7299
I 0.9021 0.7382 0.9936
Hf 0.7500 0.6544 0.6544
Hf 0.2500 0.3456 0.3456

Output
E_form (uncorrected): -0.94 eV/atom
calculated volume: 39.6 Å³/atom
DOS at the Fermi energy: 0.000 states/eV per atom
electronic total energy: -42.87 eV per atom

***

# 3
This record from Alexandria via LeMat-Bulk describes a crystal of MgRe2Se relaxed with PBEsol. The functional is SCAN.

Lattice parameters (Å, degrees): 2.7576 2.7576 9.1877 90.00 90.00 115.08
Atoms (fractional coordinates):
Re 0.0000 0.0000 0.7463
Re 0.0000 0.0000 0.2537
Mg 0.5000 0.5000 0.0000
Se 0.5000 0.5000 0.5000

Output
E_form (uncorrected): 0.80 eV/atom
calculated volume: 15.8 Å³/atom
DOS at the Fermi energy: 0.832 states/eV per atom
electronic total energy: -41.01 eV per atom

***

Question: Look up the calculated volume of the third one.
Answer: 15.8 Å³/atom